[1]
A geometry-optimized Ga2BrF structure. Source: Alexandria, functional PBE-GGA.

The uncorrected formation energy comes out at -0.942 eV per atom. The value obtained for the energy is -3.34 eV per atom.

The space group is I-42d (No. 122) and the conventional cell measures 5.652, 5.652 and 14.369 Å, with angles of 90.00, 90.00 and 90.00 degrees. Symmetry generates all atoms from Ga at (0.146, 0.250, 0.125), Br at (0.000, 0.000, 0.500) and F at (0.000, 0.000, 0.000).

---

[2]
A geometry-optimized Ga3BrF structure. Source: Alexandria, functional PBE-GGA.

The uncorrected formation energy comes out at 0.020 eV per atom. The value obtained for the energy is -2.50 eV per atom.

The space group is Pm-3m (No. 221) and the conventional cell measures 5.753, 5.753 and 5.753 Å, with angles of 90.00, 90.00 and 90.00 degrees. Symmetry generates all atoms from Ga at (0.000, 0.000, 0.500), Br at (0.000, 0.000, 0.000) and F at (0.500, 0.500, 0.500).

---

[3]
A geometry-optimized GaBr3F structure. Source: Alexandria, functional PBE-GGA.

The uncorrected formation energy comes out at -0.222 eV per atom. The value obtained for the energy is -2.21 eV per atom.

The space group is Pm-3m (No. 221) and the conventional cell measures 5.122, 5.122 and 5.122 Å, with angles of 90.00, 90.00 and 90.00 degrees. Symmetry generates all atoms from Ga at (0.000, 0.000, 0.000), Br at (0.000, 0.000, 0.500) and F at (0.500, 0.500, 0.500).

---

[4]
A geometry-optimized GaHgBrF2 structure. Source: Alexandria, functional PBE-GGA.

The uncorrected formation energy comes out at -1.010 eV per atom. The value obtained for the energy is -2.76 eV per atom.

The space group is P4/mmm (No. 123) and the conventional cell measures 4.557, 4.557 and 5.711 Å, with angles of 90.00, 90.00 and 90.00 degrees. Symmetry generates all atoms from Ga at (0.000, 0.000, 0.000), Hg at (0.500, 0.500, 0.500), Br at (0.500, 0.500, 0.000) and F at (0.000, 0.500, 0.500).

---

[5]
A geometry-optimized InGaBr2F structure. Source: Alexandria, functional PBE-GGA.

The uncorrected formation energy comes out at -1.044 eV per atom. The value obtained for the energy is -3.24 eV per atom.

The space group is P4/mmm (No. 123) and the conventional cell measures 5.560, 5.560 and 4.166 Å, with angles of 90.00, 90.00 and 90.00 degrees. Symmetry generates all atoms from In at (0.000, 0.000, 0.000), Ga at (0.500, 0.500, 0.500), Br at (0.000, 0.500, 0.500) and F at (0.500, 0.500, 0.000).

---

[6]
A geometry-optimized KGaBr2F structure. Source: Alexandria, functional PBE-GGA.

The uncorrected formation energy comes out at -1.500 eV per atom. The value obtained for the energy is -3.37 eV per atom.

The space group is P4/mmm (No. 123) and the conventional cell measures 5.534, 5.534 and 4.215 Å, with angles of 90.00, 90.00 and 90.00 degrees. Symmetry generates all atoms from K at (0.000, 0.000, 0.000), Ga at (0.500, 0.500, 0.500), Br at (0.000, 0.500, 0.500) and F at (0.500, 0.500, 0.000).

---

[7]
A geometry-optimized LaGaBrF2 structure. Source: Alexandria, functional PBE-GGA.

The uncorrected formation energy comes out at -2.272 eV per atom. The value obtained for the energy is -4.95 eV per atom.

The space group is P4/mmm (No. 123) and the conventional cell measures 4.589, 4.589 and 7.885 Å, with angles of 90.00, 90.00 and 90.00 degrees. Symmetry generates all atoms from La at (0.000, 0.000, 0.000), Ga at (0.000, 0.000, 0.500), Br at (0.500, 0.500, 0.500) and F at (0.000, 0.500, 0.000).

---

[8]
A geometry-optimized MgGaBrF2 structure. Source: Alexandria, functional PBE-GGA.

The uncorrected formation energy comes out at -2.096 eV per atom. The value obtained for the energy is -4.10 eV per atom.

The space group is P4/mmm (No. 123) and the conventional cell measures 4.082, 4.082 and 5.615 Å, with angles of 90.00, 90.00 and 90.00 degrees. Symmetry generates all atoms from Mg at (0.000, 0.000, 0.000), Ga at (0.500, 0.500, 0.500), Br at (0.000, 0.000, 0.500) and F at (0.000, 0.500, 0.000).

---

[9]
A geometry-optimized MgGaBr2F structure. Source: Alexandria, functional PBE-GGA.

The uncorrected formation energy comes out at -1.624 eV per atom. The value obtained for the energy is -3.59 eV per atom.

The space group is P4/mmm (No. 123) and the conventional cell measures 5.474, 5.474 and 3.849 Å, with angles of 90.00, 90.00 and 90.00 degrees. Symmetry generates all atoms from Mg at (0.000, 0.000, 0.000), Ga at (0.500, 0.500, 0.500), Br at (0.000, 0.500, 0.000) and F at (0.000, 0.000, 0.500).